# 1
# AcTb2TmS4 | the Alexandria database | PBE-GGA | optimized geometry
data_AcTb2TmS4
_cell_length_a 6.870
_cell_length_b 3.941
_cell_length_c 7.113
_cell_angle_alpha 90.00
_cell_angle_beta 108.61
_cell_angle_gamma 90.00
_space_group_name_H-M_alt 'P 1 2/m 1'
_space_group_IT_number 10
_space_group_name_Hall '-P 2y'
loop_
_atom_site_label
_atom_site_fract_x
_atom_site_fract_y
_atom_site_fract_z
Ac1 0.000 0.000 0.000
Tb1 0.500 0.000 0.500
Tb2 0.500 0.500 0.000
Tm1 0.000 0.500 0.500
S1 0.251 0.000 0.733
S2 0.265 0.500 0.273
# formation energy (no corrections) = -15.5 eV/f.u.
# DOS at the Fermi energy = 0.5329 states/eV per atom

***

# 2
# ThV2Co | the Alexandria database | PBE-GGA | optimized geometry
data_ThV2Co
_cell_length_a 6.327
_cell_length_b 6.327
_cell_length_c 6.327
_cell_angle_alpha 90.00
_cell_angle_beta 90.00
_cell_angle_gamma 90.00
_space_group_name_H-M_alt 'F m -3 m'
_space_group_IT_number 225
_space_group_name_Hall '-F 4 2 3'
loop_
_atom_site_label
_atom_site_fract_x
_atom_site_fract_y
_atom_site_fract_z
Th1 0.000 0.000 0.000
V1 0.250 0.250 0.250
Co1 0.000 0.000 0.500
# uncorrected energy = -7.832 eV per atom
# DOS at the Fermi energy = 1.3994 states/eV per atom

***

# 3
# OsWSe3 | the Alexandria database | PBE-GGA | optimized geometry
data_OsWSe3
_cell_length_a 6.146
_cell_length_b 8.233
_cell_length_c 8.520
_cell_angle_alpha 91.62
_cell_angle_beta 99.57
_cell_angle_gamma 106.52
_space_group_name_H-M_alt 'P -1'
_space_group_IT_number 2
_space_group_name_Hall '-P 1'
loop_
_atom_site_label
_atom_site_fract_x
_atom_site_fract_y
_atom_site_fract_z
Os1 0.066 0.351 0.134
Os2 0.426 0.799 0.627
W1 0.202 0.096 0.940
W2 0.242 0.625 0.364
Se1 0.019 0.318 0.444
Se2 0.087 0.354 0.850
Se3 0.160 0.090 0.222
Se4 0.348 0.823 0.912
Se5 0.414 0.108 0.651
Se6 0.485 0.464 0.273
# formation energy (no corrections) = 0.9 eV/f.u.
# relative energy among the computed polymorphs = 0.0 meV/atom
# DOS at the Fermi energy = 0.5689 states/eV per atom

***

# 4
# AlGaN2F | the Alexandria database | PBE-GGA | optimized geometry
data_AlGaN2F
_cell_length_a 3.859
_cell_length_b 3.859
_cell_length_c 3.586
_cell_angle_alpha 90.00
_cell_angle_beta 90.00
_cell_angle_gamma 90.00
_space_group_name_H-M_alt 'P 4/m m m'
_space_group_IT_number 123
_space_group_name_Hall '-P 4 2'
loop_
_atom_site_label
_atom_site_fract_x
_atom_site_fract_y
_atom_site_fract_z
Al1 0.000 0.000 0.000
Ga1 0.500 0.500 0.500
N1 0.000 0.500 0.000
F1 0.000 0.000 0.500
# formation energy (no corrections) = -1.6 eV/f.u.
# relative energy among the computed polymorphs = 0.0 meV/atom
# DOS at the Fermi energy = 0.4989 states/eV per atom

***

# 5
# CsGaTe | the Alexandria database | PBE-GGA | optimized geometry
data_CsGaTe
_cell_length_a 4.961
_cell_length_b 6.774
_cell_length_c 8.871
_cell_angle_alpha 77.32
_cell_angle_beta 86.75
_cell_angle_gamma 72.63
_space_group_name_H-M_alt 'P 1'
_space_group_IT_number 1
_space_group_name_Hall 'P 1'
loop_
_atom_site_label
_atom_site_fract_x
_atom_site_fract_y
_atom_site_fract_z
Cs1 0.000 0.000 0.000
Cs2 0.127 0.631 0.600
Ga1 0.341 0.400 0.233
Ga2 0.762 0.551 0.257
Te1 0.502 0.967 0.325
Te2 0.615 0.561 0.950
# formation energy (no corrections) = -1.8 eV/f.u.
# relative energy among the computed polymorphs = 31.3 meV/atom

***

# 6
# Cs3Tb3PaSe8 | the Alexandria database | PBE-GGA | optimized geometry
data_Cs3Tb3PaSe8
_cell_length_a 8.4803
_cell_length_b 8.4803
_cell_length_c 25.5934
_cell_angle_alpha 90.00
_cell_angle_beta 90.00
_cell_angle_gamma 120.00
_space_group_name_H-M_alt 'R -3 m'
_space_group_IT_number 166
_space_group_name_Hall '-R 3 2"'
loop_
_atom_site_label
_atom_site_fract_x
_atom_site_fract_y
_atom_site_fract_z
Cs1 0.0000 0.5000 0.0000
Tb1 0.0000 0.5000 0.5000
Pa1 0.0000 0.0000 0.5000
Se1 0.0000 0.0000 0.2281
Se2 0.0026 0.5013 0.2276
# formation energy (no corrections) = -25.2 eV/f.u.
# DOS at the Fermi energy = 0.2376 states/eV per atom

***

# 7
# TaCuHg2 | the Alexandria database | PBE-GGA | optimized geometry
data_TaCuHg2
_cell_length_a 2.938
_cell_length_b 5.180
_cell_length_c 9.753
_cell_angle_alpha 90.00
_cell_angle_beta 90.00
_cell_angle_gamma 90.00
_space_group_name_H-M_alt 'I m m m'
_space_group_IT_number 71
_space_group_name_Hall '-I 2 2'
loop_
_atom_site_label
_atom_site_fract_x
_atom_site_fract_y
_atom_site_fract_z
Ta1 0.000 0.000 0.000
Cu1 0.000 0.000 0.500
Hg1 0.000 0.500 0.233
# uncorrected energy = -3.644 eV per atom
# DOS at the Fermi energy = 0.7744 states/eV per atom

***

# 8
# Dy3Er6Tm2Pu | the Alexandria database | PBE-GGA | optimized geometry
data_Dy3Er6Tm2Pu
_cell_length_a 6.064
_cell_length_b 10.501
_cell_length_c 11.577
_cell_angle_alpha 90.00
_cell_angle_beta 100.07
_cell_angle_gamma 90.00
_space_group_name_H-M_alt 'C 1 2/m 1'
_space_group_IT_number 12
_space_group_name_Hall '-C 2y'
loop_
_atom_site_label
_atom_site_fract_x
_atom_site_fract_y
_atom_site_fract_z
Dy1 0.000 0.000 0.000
Dy2 0.000 0.333 0.000
Er1 0.247 0.335 0.747
Er2 0.247 0.500 0.253
Tm1 0.000 0.167 0.500
Pu1 0.000 0.500 0.500
# uncorrected energy = -5.329 eV per atom
# DOS at the Fermi energy = 1.9954 states/eV per atom

***

# 9
# YTi3Au | the Alexandria database | PBE-GGA | optimized geometry
data_YTi3Au
_cell_length_a 4.773
_cell_length_b 4.773
_cell_length_c 4.773
_cell_angle_alpha 90.00
_cell_angle_beta 90.00
_cell_angle_gamma 90.00
_space_group_name_H-M_alt 'P m -3 m'
_space_group_IT_number 221
_space_group_name_Hall '-P 4 2 3'
loop_
_atom_site_label
_atom_site_fract_x
_atom_site_fract_y
_atom_site_fract_z
Y1 0.000 0.000 0.000
Ti1 0.000 0.000 0.500
Au1 0.500 0.500 0.500
# relative energy among the computed polymorphs = 921.3 meV/atom
# DOS at the Fermi energy = 1.3258 states/eV per atom

***

# 10
# K3Dy2RhO6 | the Alexandria database | PBE-GGA | optimized geometry
data_K3Dy2RhO6
_cell_length_a 5.831
_cell_length_b 10.090
_cell_length_c 6.508
_cell_angle_alpha 90.00
_cell_angle_beta 107.23
_cell_angle_gamma 90.00
_space_group_name_H-M_alt 'C 1 2/m 1'
_space_group_IT_number 12
_space_group_name_Hall '-C 2y'
loop_
_atom_site_label
_atom_site_fract_x
_atom_site_fract_y
_atom_site_fract_z
K1 0.000 0.000 0.000
K2 0.000 0.339 0.000
Dy1 0.000 0.167 0.500
Rh1 0.000 0.500 0.500
O1 0.222 0.340 0.687
O2 0.242 0.000 0.686
# formation energy (no corrections) = -25.7 eV/f.u.
# DOS at the Fermi energy = 0.0000 states/eV per atom

***

# 11
# NaMoAsBr2 | the Alexandria database | PBE-GGA | optimized geometry
data_NaMoAsBr2
_cell_length_a 5.149
_cell_length_b 5.149
_cell_length_c 5.474
_cell_angle_alpha 90.00
_cell_angle_beta 90.00
_cell_angle_gamma 90.00
_space_group_name_H-M_alt 'P 4/m m m'
_space_group_IT_number 123
_space_group_name_Hall '-P 4 2'
loop_
_atom_site_label
_atom_site_fract_x
_atom_site_fract_y
_atom_site_fract_z
Na1 0.000 0.000 0.000
Mo1 0.500 0.500 0.500
As1 0.000 0.000 0.500
Br1 0.000 0.500 0.000
# formation energy (no corrections) = 4.3 eV/f.u.
# relative energy among the computed polymorphs = 1068.5 meV/atom
# DOS at the Fermi energy = 0.6609 states/eV per atom

***

# 12
# TeAsPAu2 | the Alexandria database | PBE-GGA | optimized geometry
data_TeAsPAu2
_cell_length_a 4.676
_cell_length_b 4.676
_cell_length_c 5.308
_cell_angle_alpha 90.00
_cell_angle_beta 90.00
_cell_angle_gamma 90.00
_space_group_name_H-M_alt 'P 4/m m m'
_space_group_IT_number 123
_space_group_name_Hall '-P 4 2'
loop_
_atom_site_label
_atom_site_fract_x
_atom_site_fract_y
_atom_site_fract_z
Te1 0.000 0.000 0.000
As1 0.500 0.500 0.000
P1 0.500 0.500 0.500
Au1 0.000 0.500 0.500
# formation energy (no corrections) = 1.9 eV/f.u.
# DOS at the Fermi energy = 0.4586 states/eV per atom